DFT (PBE-GGA) results for a relaxed FePdPt4Rh2 crystal.

Cell lengths 2.762, 12.890, 14.107 Å; angles 90.00, 90.00, 90.00 degrees
Space group Cmcm (No. 63)
Asymmetric unit:
Fe 0.000 0.125 0.250 x4
Pd 0.000 0.211 0.750 x4
Pt 0.000 0.000 0.000 x4
Pt 0.000 0.340 0.086 x8
Pt 0.000 0.469 0.250 x4
Rh 0.000 0.350 0.601 x8

Values from the calculation:
electronic total energy = -6.42 eV/atom

=====

DFT (PBE-GGA) results for a relaxed CeZnCd2 crystal.

Cell lengths 3.214, 3.214, 8.471 Å; angles 90.00, 90.00, 90.00 degrees
Space group P4/mmm (No. 123)
Asymmetric unit:
Ce 0.000 0.000 0.000 x1
Zn 0.000 0.000 0.500 x1
Cd 0.500 0.500 0.291 x2

Values from the calculation:
electronic total energy = -2.35 eV/atom

=====

DFT (PBE-GGA) results for a relaxed ZrPt2Rh crystal.

Cell lengths 3.979, 3.979, 8.269 Å; angles 90.00, 90.00, 90.00 degrees
Space group I4/mmm (No. 139)
Asymmetric unit:
Zr 0.000 0.000 0.000 x2
Pt 0.000 0.500 0.250 x4
Rh 0.000 0.000 0.500 x2

Values from the calculation:
electronic total energy = -7.84 eV/atom